1.
# MgNiSe

MgNiSe after structural relaxation (PBE-GGA, the Alexandria database).

Energy relative to the elements, uncorrected in eV per atom: -0.41

Unit cell a=4.3947 b=4.3947 c=5.4468 alpha=94.10 beta=94.10 gamma=94.52
Fractional positions:
Mg1 0.1764 0.8236 0.5000
Mg2 0.8236 0.1764 0.0000
Ni1 0.6380 0.6664 0.2810
Ni2 0.6664 0.6380 0.7810
Se1 0.2083 0.7188 0.9757
Se2 0.7188 0.2083 0.4757

---

2.
# TaVSb2

TaVSb2 after structural relaxation (PBE-GGA, the Alexandria database).

Energy relative to the elements, uncorrected in eV per atom: 0.41

Unit cell a=9.9215 b=9.9215 c=9.9215 alpha=18.26 beta=18.26 gamma=18.26
Fractional positions:
Ta1 0.0000 0.0000 0.0000
V1 0.5000 0.5000 0.5000
Sb1 0.0976 0.0976 0.0976
Sb2 0.9024 0.9024 0.9024

---

3.
# ScTa2Be

ScTa2Be after structural relaxation (PBE-GGA, the Alexandria database).

Energy relative to the elements in eV per atom: 0.35

Unit cell a=5.1146 b=5.1146 c=2.8943 alpha=90.00 beta=90.00 gamma=112.95
Fractional positions:
Sc1 0.0000 0.0000 0.0000
Ta1 0.0000 0.5000 0.5000
Ta2 0.5000 0.0000 0.5000
Be1 0.5000 0.5000 0.0000

---

4.
# La2AlCu12Ni3

La2AlCu12Ni3 after structural relaxation (PBE-GGA, the Alexandria database).

Energy relative to the elements in eV per atom: 0.02

Unit cell a=6.4552 b=6.4552 c=6.4552 alpha=82.21 beta=82.21 gamma=82.21
Fractional positions:
La1 0.2488 0.2488 0.2488
La2 0.7512 0.7512 0.7512
Al1 0.5000 0.5000 0.5000
Cu1 0.0740 0.0740 0.6600
Cu2 0.0740 0.6600 0.0740
Cu3 0.2296 0.6991 0.6991
Cu4 0.3009 0.3009 0.7704
Cu5 0.3009 0.7704 0.3009
Cu6 0.3400 0.9260 0.9260
Cu7 0.6600 0.0740 0.0740
Cu8 0.6991 0.2296 0.6991
Cu9 0.6991 0.6991 0.2296
Cu10 0.7704 0.3009 0.3009
Cu11 0.9260 0.3400 0.9260
Cu12 0.9260 0.9260 0.3400
Ni1 0.0000 0.5000 0.5000
Ni2 0.5000 0.0000 0.5000
Ni3 0.5000 0.5000 0.0000